(1)
A plane-wave DFT calculation with GGA-PBE was carried out for crystalline CrFeNiBr2 at its relaxed geometry.

a = 4.8774 Å, b = 4.8774 Å, c = 4.4239 Å
α = 90.00°, β = 90.00°, γ = 90.00°
Space group P4/mmm (No. 123)
Asymmetric unit:
Cr1 0.0000 0.0000 0.0000 [1 per cell]
Fe1 0.0000 0.0000 0.5000 [1 per cell]
Ni1 0.5000 0.5000 0.5000 [1 per cell]
Br1 0.0000 0.5000 0.0000 [2 per cell]

Computed properties:
Raw total energy = -21.6 eV for the cell shown
DOS at the Fermi energy = 7.45 states/eV/cell
ΔE_f (raw) = 1132 meV per atom

(2)
A plane-wave DFT calculation with GGA-PBE was carried out for crystalline Rb2CrFeBr6 at its relaxed geometry.

a = 10.5712 Å, b = 10.5712 Å, c = 10.5712 Å
α = 90.00°, β = 90.00°, γ = 90.00°
Space group Fm-3m (No. 225)
Asymmetric unit:
Rb1 0.2500 0.2500 0.2500 [8 per cell]
Cr1 0.0000 0.0000 0.0000 [4 per cell]
Fe1 0.0000 0.0000 0.5000 [4 per cell]
Br1 0.0000 0.0000 0.2506 [24 per cell]

Computed properties:
Raw total energy = -159.1 eV for the cell shown
DOS at the Fermi energy = 59.60 states/eV/cell
ΔE_f (raw) = -971 meV per atom

(3)
A plane-wave DFT calculation with GGA-PBE was carried out for crystalline CrFeSeBr2 at its relaxed geometry.

a = 5.0681 Å, b = 5.0681 Å, c = 4.8244 Å
α = 90.00°, β = 90.00°, γ = 90.00°
Space group P4/mmm (No. 123)
Asymmetric unit:
Cr1 0.0000 0.0000 0.0000 [1 per cell]
Fe1 0.5000 0.5000 0.5000 [1 per cell]
Se1 0.5000 0.5000 0.0000 [1 per cell]
Br1 0.0000 0.5000 0.5000 [2 per cell]

Computed properties:
Raw total energy = -23.5 eV for the cell shown
Offset from the most stable computed form = 0.00 eV/f.u.
DOS at the Fermi energy = 4.80 states/eV/cell
ΔE_f (raw) = 289 meV per atom

(4)
A plane-wave DFT calculation with GGA-PBE was carried out for crystalline Ti2CrFeBr at its relaxed geometry.

a = 4.7829 Å, b = 4.7829 Å, c = 4.0012 Å
α = 90.00°, β = 90.00°, γ = 90.00°
Space group P4/mmm (No. 123)
Asymmetric unit:
Ti1 0.0000 0.5000 0.0000 [2 per cell]
Cr1 0.0000 0.0000 0.0000 [1 per cell]
Fe1 0.0000 0.0000 0.5000 [1 per cell]
Br1 0.5000 0.5000 0.5000 [1 per cell]

Computed properties:
Raw total energy = -31.5 eV for the cell shown
DOS at the Fermi energy = 10.30 states/eV/cell
ΔE_f (raw) = 816 meV per atom

(5)
A plane-wave DFT calculation with GGA-PBE was carried out for crystalline Cr5Ga3Br12 at its relaxed geometry.

a = 16.8309 Å, b = 16.8309 Å, c = 16.8309 Å
α = 90.00°, β = 90.00°, γ = 90.00°
Space group Ia-3d (No. 230)
Asymmetric unit:
Cr1 0.0000 0.0000 0.0000 [16 per cell]
Cr2 0.0000 0.2500 0.3750 [24 per cell]
Ga1 0.0000 0.2500 0.1250 [24 per cell]
Br1 0.0291 0.0516 0.6459 [96 per cell]

Computed properties:
Raw total energy = -697.4 eV for the cell shown
DOS at the Fermi energy = 83.85 states/eV/cell
ΔE_f (raw) = -495 meV per atom

(6)
A plane-wave DFT calculation with GGA-PBE was carried out for crystalline CrGaBr2 at its relaxed geometry.

a = 6.8297 Å, b = 6.8297 Å, c = 6.8297 Å
α = 90.00°, β = 90.00°, γ = 90.00°
Space group Fm-3m (No. 225)
Asymmetric unit:
Cr1 0.0000 0.0000 0.0000 [4 per cell]
Ga1 0.0000 0.0000 0.5000 [4 per cell]
Br1 0.2500 0.2500 0.2500 [8 per cell]

Computed properties:
Raw total energy = -53.5 eV for the cell shown
Offset from the most stable computed form = 3.34 eV/f.u.
DOS at the Fermi energy = 38.75 states/eV/cell
ΔE_f (raw) = 657 meV per atom

Copy entry 4 word for word.
A plane-wave DFT calculation with GGA-PBE was carried out for crystalline Ti2CrFeBr at its relaxed geometry.

a = 4.7829 Å, b = 4.7829 Å, c = 4.0012 Å
α = 90.00°, β = 90.00°, γ = 90.00°
Space group P4/mmm (No. 123)
Asymmetric unit:
Ti1 0.0000 0.5000 0.0000 [2 per cell]
Cr1 0.0000 0.0000 0.0000 [1 per cell]
Fe1 0.0000 0.0000 0.5000 [1 per cell]
Br1 0.5000 0.5000 0.5000 [1 per cell]

Computed properties:
Raw total energy = -31.5 eV for the cell shown
DOS at the Fermi energy = 10.30 states/eV/cell
ΔE_f (raw) = 816 meV per atom

> raw total energy of number 4 (Ti2CrFeBr)?

-31.5 eV for the cell shown

> Which value of ΔE_f (raw) does entry 5 give?

-495 meV per atom